Below is an optimized crystal structure of ScTcNiBi, with properties calculated at the PBE-GGA level. Values from VASP.

Calculated values
Space group: F-43m (216)
Calculated density in g/cm3: 9.432
Uncorrected energy in eV/atom: -6.24

Quantum ESPRESSO input file:
```
&SYSTEM
  ibrav = 0, nat = 4, ntyp = 4
/
ATOMIC_SPECIES
Sc 44.96 Sc.upf
Tc 98.00 Tc.upf
Ni 58.69 Ni.upf
Bi 208.98 Bi.upf
ATOMIC_POSITIONS crystal
Sc 0.000 0.000 0.000
Tc 0.750 0.750 0.750
Ni 0.500 0.500 0.500
Bi 0.250 0.250 0.250
CELL_PARAMETERS angstrom
0.000 3.306 3.306
3.306 0.000 3.306
3.306 3.306 0.000
```

Below is an optimized crystal structure of Nb3Mo13, with properties calculated at the PBE-GGA level. Values from VASP.

Calculated values
Space group: Pm-3m (221)
Calculated density in g/cm3: 9.814
Formation energy from the elements in meV per atom: -64

Quantum ESPRESSO input file:
```
&SYSTEM
  ibrav = 0, nat = 16, ntyp = 2
/
ATOMIC_SPECIES
Nb 92.91 Nb.upf
Mo 95.94 Mo.upf
ATOMIC_POSITIONS crystal
Nb 0.000 0.000 0.500
Nb 0.000 0.500 0.000
Nb 0.500 0.000 0.000
Mo 0.000 0.000 0.000
Mo 0.000 0.500 0.500
Mo 0.251 0.251 0.251
Mo 0.251 0.251 0.749
Mo 0.251 0.749 0.251
Mo 0.251 0.749 0.749
Mo 0.500 0.000 0.500
Mo 0.500 0.500 0.000
Mo 0.500 0.500 0.500
Mo 0.749 0.251 0.251
Mo 0.749 0.251 0.749
Mo 0.749 0.749 0.251
Mo 0.749 0.749 0.749
CELL_PARAMETERS angstrom
6.368 0.000 0.000
0.000 6.368 0.000
0.000 0.000 6.368
```

Below is an optimized crystal structure of LaErCd2Au4, with properties calculated at the PBE-GGA level. Values from VASP.

Calculated values
Space group: P4/mmm (123)
Calculated density in g/cm3: 12.325
Formation energy from the elements in meV per atom: -669

Quantum ESPRESSO input file:
```
&SYSTEM
  ibrav = 0, nat = 8, ntyp = 4
/
ATOMIC_SPECIES
La 138.91 La.upf
Er 167.26 Er.upf
Cd 112.41 Cd.upf
Au 196.97 Au.upf
ATOMIC_POSITIONS crystal
La 0.000 0.000 0.000
Er 0.500 0.500 0.500
Cd 0.000 0.000 0.500
Cd 0.500 0.500 0.000
Au 0.000 0.500 0.268
Au 0.000 0.500 0.732
Au 0.500 0.000 0.268
Au 0.500 0.000 0.732
CELL_PARAMETERS angstrom
5.017 0.000 0.000
0.000 5.017 0.000
0.000 0.000 7.061
```

Below is an optimized crystal structure of TbDySb2, with properties calculated at the PBE-GGA level. Values from VASP.

Calculated values
Space group: P4/mmm (123)
Calculated density in g/cm3: 7.848
Uncorrected energy in eV/atom: -5.51

Quantum ESPRESSO input file:
```
&SYSTEM
  ibrav = 0, nat = 4, ntyp = 3
/
ATOMIC_SPECIES
Tb 158.93 Tb.upf
Dy 162.50 Dy.upf
Sb 121.76 Sb.upf
ATOMIC_POSITIONS crystal
Tb 0.000 0.000 0.000
Dy 0.500 0.500 0.500
Sb 0.000 0.000 0.500
Sb 0.500 0.500 0.000
CELL_PARAMETERS angstrom
4.389 0.000 0.000
0.000 4.389 0.000
0.000 0.000 6.206
```

Below is an optimized crystal structure of CsGdHgTe3, with properties calculated at the PBE-GGA level. Values from VASP.

Calculated values
Space group: C2/m (12)
Calculated density in g/cm3: 6.251
Uncorrected energy in eV/atom: -3.41

Quantum ESPRESSO input file:
```
&SYSTEM
  ibrav = 0, nat = 12, ntyp = 4
/
ATOMIC_SPECIES
Cs 132.91 Cs.upf
Gd 157.25 Gd.upf
Hg 200.59 Hg.upf
Te 127.60 Te.upf
ATOMIC_POSITIONS crystal
Cs 0.147 0.147 0.061
Cs 0.853 0.853 0.939
Gd 0.171 0.171 0.564
Gd 0.829 0.829 0.436
Hg 0.476 0.476 0.280
Hg 0.524 0.524 0.720
Te 0.000 0.000 0.500
Te 0.324 0.324 0.639
Te 0.332 0.332 0.229
Te 0.500 0.500 0.000
Te 0.668 0.668 0.771
Te 0.676 0.676 0.361
CELL_PARAMETERS angstrom
10.230 -2.276 0.000
10.230 2.276 0.000
-1.793 0.000 9.965
```

Below is an optimized crystal structure of Dy3ZrC2S2, with properties calculated at the PBE-GGA level. Values from VASP.

Calculated values
Space group: P3m1 (156)
Calculated density in g/cm3: 7.641
Uncorrected energy in eV/atom: -7.39

Quantum ESPRESSO input file:
```
&SYSTEM
  ibrav = 0, nat = 8, ntyp = 4
/
ATOMIC_SPECIES
Dy 162.50 Dy.upf
Zr 91.22 Zr.upf
C 12.01 C.upf
S 32.06 S.upf
ATOMIC_POSITIONS crystal
Dy 0.000 0.000 0.000
Dy 0.000 0.000 0.295
Dy 0.333 0.667 0.789
Zr 0.333 0.667 0.498
C 0.667 0.333 0.408
C 0.667 0.333 0.892
S 0.000 0.000 0.634
S 0.333 0.667 0.149
CELL_PARAMETERS angstrom
3.620 0.000 0.000
-1.810 3.135 0.000
0.000 0.000 12.768
```